Below is SrSb2Rh after structural relaxation, with properties calculated at the GGA-PBE level.

Its space-group type is No. 71.

a = 6.1024 Å, b = 6.1024 Å, c = 6.1024 Å
α = 147.17°, β = 121.65°, γ = 68.59°
Closest atoms and distances in Å follow each position.
Atoms (fractional coordinates):
Rh: 0.2500 0.7500 0.5000  4 Sb 2.67
Sb: 0.0485 0.0485 0.0000  2 Rh 2.67
Sb: 0.4515 0.4515 0.0000  2 Rh 2.67
Sr: 0.7500 0.2500 0.5000  4 Rh 3.44, 2 Sr 3.45, 8 Sb 3.47-3.60



Below is LaZr2ZnRh after structural relaxation, with properties calculated at the GGA-PBE level.

The value obtained for the formation energy is 0.208 eV/atom. Its space-group type is No. 123.

a = 5.0701 Å, b = 5.5275 Å, c = 5.0701 Å
α = 90.00°, β = 90.00°, γ = 90.00°
Closest atoms and distances in Å follow each position.
Atoms (fractional coordinates):
Zn: 0.5000 0.5000 0.5000  4 La 3.59, 8 Zr 3.75
Rh: 0.0000 0.0000 0.0000  4 Zr 2.54, 2 La 2.76
Zr: 0.0000 0.0000 0.5000  2 Rh 2.54
Zr: 0.5000 0.0000 0.0000  2 Rh 2.54
La: 0.0000 0.5000 0.0000  2 Rh 2.76



Below is YCoPCl2 after structural relaxation, with properties calculated at the GGA-PBE level.

The relative energy among the computed polymorphs is 423 meV/atom. Its space-group type is No. 123.

a = 5.1179 Å, b = 5.1179 Å, c = 5.6801 Å
α = 90.00°, β = 90.00°, γ = 90.00°
Closest atoms and distances in Å follow each position.
Atoms (fractional coordinates):
Y: 0.0000 0.0000 0.0000  4 Cl 2.56, 2 P 2.84
P: 0.0000 0.0000 0.5000  2 Y 2.84
Co: 0.5000 0.5000 0.5000  4 P 3.62, 8 Cl 3.82
Cl: 0.0000 0.5000 0.0000  2 Y 2.56
Cl: 0.5000 0.0000 0.0000  2 Y 2.56



Below is TaCr2B2 after structural relaxation, with properties calculated at the GGA-PBE level.

The relative energy among the computed polymorphs is 87 meV/atom. The value obtained for the formation energy is -0.366 eV/atom. Its space-group type is No. 11.

a = 2.9669 Å, b = 3.9422 Å, c = 9.0247 Å
α = 96.60°, β = 90.00°, γ = 90.00°
Closest atoms and distances in Å follow each position.
Atoms (fractional coordinates):
Ta: 0.2500 0.6877 0.2412  7 B 2.47-2.62, 2 Cr 2.71
Ta: 0.7500 0.3123 0.7588  7 B 2.47-2.62, 2 Cr 2.71
Cr: 0.2500 0.8568 0.9066  5 B 2.05-2.14
Cr: 0.7500 0.1432 0.0934  5 B 2.05-2.14
Cr: 0.2500 0.2520 0.5057  2 B 2.15
Cr: 0.7500 0.7480 0.4943  2 B 2.15
B: 0.2500 0.7950 0.6683  3 Cr 2.14-2.15
B: 0.7500 0.2050 0.3317  3 Cr 2.14-2.15
B: 0.2500 0.3827 0.9789  2 B 1.77
B: 0.7500 0.6173 0.0211  2 B 1.77



Below is Sr4MgCo after structural relaxation, with properties calculated at the GGA-PBE level.

The value obtained for the formation energy is 0.895 eV/atom. Its space-group type is No. 216.

a = 7.1589 Å, b = 7.1589 Å, c = 7.1589 Å
α = 60.00°, β = 60.00°, γ = 60.00°
Closest atoms and distances in Å follow each position.
Atoms (fractional coordinates):
Sr: 0.8746 0.3751 0.3751  6 Sr 3.58
Sr: 0.3751 0.3751 0.8746  6 Sr 3.58
Sr: 0.3751 0.8746 0.3751  6 Sr 3.58
Sr: 0.3751 0.3751 0.3751  6 Sr 3.58
Mg: 0.0000 0.0000 0.0000  12 Sr 4.20, 4 Co 4.38
Co: 0.7500 0.7500 0.7500  12 Sr 4.20, 4 Mg 4.38



Below is TbPmThTc after structural relaxation, with properties calculated at the GGA-PBE level.

The value obtained for the formation energy is 0.148 eV/atom. Its space-group type is No. 160.

a = 4.6419 Å, b = 4.6419 Å, c = 6.9287 Å
α = 89.97°, β = 109.57°, γ = 120.05°
Closest atoms and distances in Å follow each position.
Atoms (fractional coordinates):
Tb: 0.3720 0.0504 0.4224  3 Tc 3.09, 3 Th 3.34
Pm: 0.9449 0.8377 0.7825  3 Th 3.40, 3 Tb 3.53, 3 Tc 3.69-3.70
Th: 0.8309 0.2797 0.1105  3 Tc 2.72
Tc: 0.5444 0.6367 0.1811  3 Th 2.72



Below is ReCl after structural relaxation, with properties calculated at the GGA-PBE level.

The relative energy among the computed polymorphs is 577 meV/atom. Its space-group type is No. 87.

a = 11.6065 Å, b = 11.6065 Å, c = 3.2597 Å
α = 90.00°, β = 90.00°, γ = 90.00°
Closest atoms and distances in Å follow each position.
Atoms (fractional coordinates):
Re: 0.2939 0.1950 0.0000  2 Re 2.31, 1 Cl 2.44
Re: 0.7061 0.8050 0.0000  2 Re 2.31, 1 Cl 2.44
Re: 0.8050 0.2939 0.0000  2 Re 2.31, 1 Cl 2.44
Re: 0.1950 0.7061 0.0000  2 Re 2.31, 1 Cl 2.44
Re: 0.7939 0.6950 0.5000  2 Re 2.31, 1 Cl 2.44
Re: 0.2061 0.3050 0.5000  2 Re 2.31, 1 Cl 2.44
Re: 0.3050 0.7939 0.5000  2 Re 2.31, 1 Cl 2.44
Re: 0.6950 0.2061 0.5000  2 Re 2.31, 1 Cl 2.44
Cl: 0.4968 0.7913 0.0000  1 Re 2.44
Cl: 0.5032 0.2087 0.0000  1 Re 2.44
Cl: 0.2087 0.4968 0.0000  1 Re 2.44
Cl: 0.7913 0.5032 0.0000  1 Re 2.44
Cl: 0.9968 0.2913 0.5000  1 Re 2.44
Cl: 0.0032 0.7087 0.5000  1 Re 2.44
Cl: 0.7087 0.9968 0.5000  1 Re 2.44
Cl: 0.2913 0.0032 0.5000  1 Re 2.44



Below is CeTm5N6 after structural relaxation, with properties calculated at the GGA-PBE level.

Its space-group type is No. 12.

a = 5.9367 Å, b = 5.9372 Å, c = 5.9375 Å
α = 60.00°, β = 80.42°, γ = 70.57°
Closest atoms and distances in Å follow each position.
Atoms (fractional coordinates):
Tm: 0.5000 0.1676 0.6648  6 N 2.41-2.44
Tm: 0.0000 0.3336 0.3329  6 N 2.42-2.43
Tm: 0.5000 0.5000 0.0000  6 N 2.42
Tm: 0.0000 0.6664 0.6671  6 N 2.42-2.43
Tm: 0.5000 0.8324 0.3352  6 N 2.41-2.44
Ce: 0.0000 0.0000 0.0000  6 N 2.43-2.44
N: 0.7484 0.0839 0.3346  5 Tm 2.41-2.43, 1 Ce 2.44
N: 0.2516 0.5815 0.3346  5 Tm 2.41-2.43, 1 Ce 2.44
N: 0.2495 0.2512 0.0000  5 Tm 2.42-2.44, 1 Ce 2.43
N: 0.7505 0.7488 0.0000  5 Tm 2.42-2.44, 1 Ce 2.43
N: 0.7484 0.4185 0.6654  5 Tm 2.41-2.43, 1 Ce 2.44
N: 0.2516 0.9161 0.6654  5 Tm 2.41-2.43, 1 Ce 2.44



Below is RbHg2BiTe4 after structural relaxation, with properties calculated at the GGA-PBE level.

Its space-group type is No. 23.

a = 7.6534 Å, b = 7.7086 Å, c = 7.7086 Å
α = 74.04°, β = 60.24°, γ = 60.24°
Closest atoms and distances in Å follow each position.
Atoms (fractional coordinates):
Rb: 0.0000 0.0000 0.0000  8 Te 3.93-3.97
Hg: 0.1772 0.3228 0.3228  2 Te 2.69
Hg: 0.8228 0.6772 0.6772  2 Te 2.69
Bi: 0.5000 0.5000 0.5000  4 Te 3.06
Te: 0.4522 0.1282 0.5028  1 Hg 2.69
Te: 0.0831 0.8718 0.4972  1 Hg 2.69
Te: 0.9169 0.5028 0.1282  1 Hg 2.69
Te: 0.5478 0.4972 0.8718  1 Hg 2.69



Below is InCuPt14 after structural relaxation, with properties calculated at the GGA-PBE level.

The value obtained for the formation energy is -0.088 eV/atom. Its space-group type is No. 38.

a = 5.5922 Å, b = 5.5922 Å, c = 9.3350 Å
α = 90.00°, β = 90.00°, γ = 120.03°
Closest atoms and distances in Å follow each position.
Atoms (fractional coordinates):
In: 0.5400 0.4600 0.5000  10 Pt 2.79-2.83, 2 Cu 2.79
Cu: 0.0405 0.9595 0.5000  10 Pt 2.78-2.81, 2 In 2.79
Pt: 0.2095 0.7905 0.0000  12 Pt 2.79-2.86
Pt: 0.7103 0.2897 0.0000  12 Pt 2.79-2.87
Pt: 0.0396 0.4603 0.5000  2 Cu 2.79-2.80, 2 In 2.79-2.80, 8 Pt 2.79-2.84
Pt: 0.2095 0.2897 0.0000  12 Pt 2.79-2.88
Pt: 0.5397 0.9604 0.5000  2 Cu 2.79-2.80, 2 In 2.79-2.80, 8 Pt 2.79-2.84
Pt: 0.7103 0.7905 0.0000  12 Pt 2.79-2.88
Pt: 0.3726 0.1229 0.7468  10 Pt 2.77-2.87, 1 Cu 2.81, 1 In 2.82
Pt: 0.3726 0.1229 0.2532  10 Pt 2.77-2.87, 1 Cu 2.81, 1 In 2.82
Pt: 0.8771 0.6274 0.7468  10 Pt 2.77-2.87, 1 Cu 2.81, 1 In 2.82
Pt: 0.8771 0.6274 0.2532  10 Pt 2.77-2.87, 1 Cu 2.81, 1 In 2.82
Pt: 0.3742 0.6258 0.7499  11 Pt 2.78-2.85, 1 In 2.83
Pt: 0.3742 0.6258 0.2501  11 Pt 2.78-2.85, 1 In 2.83
Pt: 0.8764 0.1236 0.7448  11 Pt 2.78-2.88, 1 Cu 2.78
Pt: 0.8764 0.1236 0.2552  11 Pt 2.78-2.88, 1 Cu 2.78



Below is Ti5NbAl3 after structural relaxation, with properties calculated at the GGA-PBE level.

The value obtained for the formation energy is 0.069 eV/atom. Its space-group type is No. 140.

a = 6.8416 Å, b = 6.8416 Å, c = 8.2733 Å
α = 114.42°, β = 114.42°, γ = 90.00°
Closest atoms and distances in Å follow each position.
Atoms (fractional coordinates):
Ti: 0.0732 0.5732 0.7262  1 Al 2.47, 1 Nb 2.54
Ti: 0.6530 0.1530 0.7262  1 Al 2.47, 1 Nb 2.54
Ti: 0.1530 0.0732 0.7262  1 Al 2.47, 1 Nb 2.54
Ti: 0.5732 0.6530 0.7262  1 Al 2.47, 1 Nb 2.54
Ti: 0.9268 0.4268 0.2738  1 Al 2.47, 1 Nb 2.54
Ti: 0.3470 0.8470 0.2738  1 Al 2.47, 1 Nb 2.54
Ti: 0.8470 0.9268 0.2738  1 Al 2.47, 1 Nb 2.54
Ti: 0.4268 0.3470 0.2738  1 Al 2.47, 1 Nb 2.54
Ti: 0.5000 0.5000 0.0000  4 Al 2.73
Ti: 0.0000 0.0000 0.0000  4 Al 2.73
Nb: 0.7500 0.2500 0.5000  4 Ti 2.54
Nb: 0.2500 0.7500 0.5000  4 Ti 2.54
Al: 0.6200 0.1200 0.0000  1 Al 2.32, 2 Ti 2.47
Al: 0.3800 0.8800 0.0000  1 Al 2.32, 2 Ti 2.47
Al: 0.8800 0.6200 0.0000  1 Al 2.32, 2 Ti 2.47
Al: 0.1200 0.3800 0.0000  1 Al 2.32, 2 Ti 2.47
Al: 0.2500 0.2500 0.5000  8 Ti 2.88
Al: 0.7500 0.7500 0.5000  8 Ti 2.88



Below is Na2LaAu after structural relaxation, with properties calculated at the GGA-PBE level.

The relative energy among the computed polymorphs is 0 meV/atom. The value obtained for the formation energy is -0.154 eV/atom. Its space-group type is No. 122.

a = 4.3638 Å, b = 4.3638 Å, c = 12.8768 Å
α = 80.24°, β = 80.24°, γ = 90.00°
Closest atoms and distances in Å follow each position.
Atoms (fractional coordinates):
Na: 0.6579 0.1250 0.2500  2 Na 2.89
Na: 0.0921 0.6250 0.2500  2 Na 2.89
Na: 0.3750 0.3421 0.7500  2 Na 2.89
Na: 0.8750 0.9079 0.7500  2 Na 2.89
Au: 0.0000 0.0000 0.0000  4 La 3.09, 4 Na 3.44
Au: 0.7500 0.2500 0.5000  4 La 3.09, 4 Na 3.44
La: 0.5000 0.5000 0.0000  4 Au 3.09
La: 0.2500 0.7500 0.5000  4 Au 3.09



| no. | VASP energy (eV/cell) | theoretical density (g/cm³) |
| --- | --- | --- |
| 1 | -19.1 | 7.0 |
| 2 | -29.6 | 5.7 |
| 3 | -23.4 | 2.8 |
| 4 | -92.6 | 9.7 |
| 5 | -10.1 | 2.8 |
| 6 | -26.6 | 8.8 |
| 7 | -106.9 | 6.7 |
| 8 | -99.4 | 10.4 |
| 9 | -20.6 | 5.8 |
| 10 | -92.8 | 19.1 |
| 11 | -120.3 | 4.4 |
| 12 | -22.9 | 5.3 |